No. 1
PmGePd4 | GGA-PBE | optimized geometry

* DOS at the Fermi energy: 0.47 states/eV/atom
* VASP energy: -64.0 eV for the cell shown
* DFT formation energy: -0.31 eV/atom

The structure in extended XYZ format:
```
12
Lattice="5.351 0.000 0.000 0.000 5.351 0.000 0.000 0.000 8.899" Properties=species:S:1:pos:R:3 pbc="T T T"
Pd 4.078 2.675 2.543
Pd 1.403 0.000 1.907
Pd 0.000 1.403 6.992
Pd 0.000 3.948 6.992
Pd 3.948 0.000 1.907
Pd 2.675 1.273 6.357
Pd 2.675 4.078 6.357
Pd 1.273 2.675 2.543
Ge 2.675 2.675 4.450
Ge 0.000 0.000 0.000
Pm 2.675 2.675 0.000
Pm 0.000 0.000 4.450
```

***

No. 2
Pm2GePd4 | GGA-PBE | optimized geometry

* DOS at the Fermi energy: 0.46 states/eV/atom
* VASP energy: -39.2 eV for the cell shown
* DFT formation energy: -0.61 eV/atom

The structure in extended XYZ format:
```
7
Lattice="-2.226 5.616 1.037 -4.517 -2.741 3.108 5.635 -1.186 1.435" Properties=species:S:1:pos:R:3 pbc="T T T"
Pm 0.018 2.933 2.273
Pm -1.126 -1.246 3.308
Pd 3.678 -0.352 2.638
Pd 0.849 0.854 4.377
Pd -2.845 3.357 1.598
Pd -3.897 -0.482 2.548
Ge -1.109 1.689 5.579
```

***

No. 3
Pm3Ge2Pd6 | GGA-PBE | optimized geometry

* DOS at the Fermi energy: 0.36 states/eV/atom
* VASP energy: -126.7 eV for the cell shown
* DFT formation energy: -0.79 eV/atom

The structure in extended XYZ format:
```
22
Lattice="0.888 -5.276 -6.302 -4.186 -3.680 6.106 -4.155 6.673 -2.558" Properties=species:S:1:pos:R:3 pbc="T T T"
Pd -2.514 -4.206 2.017
Pd -2.163 -2.491 -2.984
Pd -3.825 1.447 -1.750
Pd -5.290 0.208 0.230
Pd -3.835 -1.965 1.105
Pd -0.784 -4.750 -2.214
Pd -3.618 -0.318 -3.858
Pd -4.176 -0.268 3.251
Pd -0.774 -1.339 -5.068
Pd -4.165 3.262 0.297
Pd -3.628 -3.729 -1.004
Pd -2.494 2.736 -3.791
Pm -0.937 0.401 -2.542
Pm -5.948 2.135 2.530
Pm -2.352 -6.387 -0.140
Pm -2.330 0.996 -6.318
Pm -2.393 0.859 1.018
Pm -0.946 -2.569 -0.056
Ge -3.727 -1.141 -1.377
Ge -2.078 3.337 -1.279
Ge -2.093 -1.840 3.053
Ge 0.444 -2.638 -3.151
```

***

No. 4
PmGe2Pd | GGA-PBE | optimized geometry

* DOS at the Fermi energy: 0.38 states/eV/atom
* VASP energy: -177.3 eV for the cell shown
* DFT formation energy: -0.75 eV/atom

The structure in extended XYZ format:
```
32
Lattice="4.318 0.000 0.000 0.000 10.934 0.000 0.000 0.000 13.861" Properties=species:S:1:pos:R:3 pbc="T T T"
Ge 1.079 5.212 12.074
Ge 3.238 8.301 12.241
Ge 1.079 2.578 4.167
Ge 1.079 2.889 11.097
Ge 3.238 10.679 8.717
Ge 1.079 2.834 8.550
Ge 1.079 0.349 0.567
Ge 1.079 2.633 1.620
Ge 1.079 5.118 7.498
Ge 3.238 8.356 9.694
Ge 3.238 10.585 13.294
Ge 3.238 5.722 1.786
Ge 3.238 5.816 6.363
Ge 1.079 0.255 5.144
Ge 3.238 8.100 5.311
Ge 3.238 8.045 2.764
Pm 1.079 10.732 11.018
Pm 3.238 2.670 6.322
Pm 3.238 5.265 9.773
Pm 1.079 5.669 4.088
Pm 1.079 8.138 0.609
Pm 3.238 2.797 13.252
Pm 3.238 0.202 2.842
Pm 1.079 8.264 7.539
Pd 1.079 8.798 4.006
Pd 1.079 0.495 7.720
Pd 1.079 7.603 10.937
Pd 1.079 4.972 0.790
Pd 3.238 2.136 9.855
Pd 3.238 5.963 13.071
Pd 3.238 10.439 6.140
Pd 3.238 3.331 2.924
```

***

No. 5
Pm2GePd7 | GGA-PBE | optimized geometry

* DOS at the Fermi energy: 0.48 states/eV/atom
* VASP energy: -52.5 eV for the cell shown
* DFT formation energy: -0.20 eV/atom

The structure in extended XYZ format:
```
10
Lattice="-4.263 1.168 5.126 -5.363 -4.024 0.926 -0.185 -4.231 5.279" Properties=species:S:1:pos:R:3 pbc="T T T"
Pd -7.361 -3.186 5.867
Pd -5.239 -5.995 5.946
Pd -4.571 -1.092 5.385
Pd -5.143 -3.794 3.200
Pd -4.905 -3.544 5.666
Pd -2.449 -3.901 5.465
Pd -4.667 -3.294 8.131
Pm -2.453 -1.772 2.833
Pm -7.358 -5.316 8.498
Ge 0.000 0.000 0.000
```

***

No. 6
PmGe2Pd | GGA-PBE | optimized geometry

* DOS at the Fermi energy: 0.72 states/eV/atom
* VASP energy: -20.9 eV for the cell shown
* DFT formation energy: -0.43 eV/atom

The structure in extended XYZ format:
```
4
Lattice="3.307 0.000 0.000 0.000 3.307 0.000 0.000 0.000 7.116" Properties=species:S:1:pos:R:3 pbc="T T T"
Ge 0.000 0.000 5.668
Ge 0.000 0.000 1.448
Pm 1.654 1.654 3.558
Pd 1.654 1.654 0.000
```

***

For each record above, in turn, the calculated M_tot values are 0.0 0.0 0.0 0.0 0.0 0.0 μB/cell.